Cs2Ag3Sb5: relaxed, PBE.

Lattice parameters (Å, degrees): 7.1978 10.0584 10.0584 72.61 69.03 69.03
Last column: nearest neighbours and their distance in Å.
Atoms (fractional coordinates):
Cs  0.1245  0.6234  0.1277  10 Sb 3.78-3.99, 6 Ag 3.94-3.98
Cs  0.6245  0.1277  0.6234  10 Sb 3.78-3.99, 6 Ag 3.94-3.98
Cs  0.8755  0.3766  0.8723  10 Sb 3.78-3.99, 6 Ag 3.94-3.98
Cs  0.3755  0.8723  0.3766  10 Sb 3.78-3.99, 6 Ag 3.94-3.98
Ag  0.3732  0.5126  0.7410  5 Sb 2.91-2.99
Ag  0.8732  0.7410  0.5126  5 Sb 2.91-2.99
Ag  0.6268  0.4874  0.2590  5 Sb 2.91-2.99
Ag  0.1268  0.2590  0.4874  5 Sb 2.91-2.99
Ag  0.2500  0.0000  0.0000  4 Sb 2.95
Ag  0.7500  0.0000  0.0000  4 Sb 2.95
Sb  0.3828  0.2518  0.9825  3 Ag 2.95-2.99, 2 Sb 3.02
Sb  0.8828  0.9825  0.2518  3 Ag 2.95-2.99, 2 Sb 3.02
Sb  0.6172  0.7482  0.0175  3 Ag 2.95-2.99, 2 Sb 3.02
Sb  0.1172  0.0175  0.7482  3 Ag 2.95-2.99, 2 Sb 3.02
Sb  0.4922  0.7578  0.7578  2 Ag 2.95, 2 Sb 3.02
Sb  0.5078  0.2422  0.2422  2 Ag 2.95, 2 Sb 3.02
Sb  0.7500  0.5000  0.5000  4 Ag 2.91
Sb  0.2500  0.5000  0.5000  4 Ag 2.91
Sb  0.0078  0.2422  0.2422  2 Ag 2.95, 2 Sb 3.02
Sb  0.9922  0.7578  0.7578  2 Ag 2.95, 2 Sb 3.02

Properties
- Raw formation energy: -149 meV/atom
- Uncorrected energy: -3.236 eV per atom
- Space group: No. 72